## SbTe2Pd4 (PBE)

Data for a relaxed SbTe2Pd4 crystal.

Calculated values
**Raw formation energy**: -1.4 eV per formula unit
**Space-group type**: Cmcm, No. 63
**Total DFT energy (no corrections)**: -0.171 Ha/atom
**Size of the total moment**: 0.0 μB per cell
**Energy above the lowest structure with this stoichiometry**: 0 meV per atom

abc: 4.1187 6.4906 12.0336
angles: 90.00 90.00 108.50
Closest atoms and distances in Å follow each position.
Positions (direct):
Sb1 0.6283 0.2566 0.7500  6 Pd 2.60-2.68
Sb2 0.3717 0.7434 0.2500  6 Pd 2.60-2.68
Te1 0.1386 0.2772 0.4198  6 Pd 2.66-2.86
Te2 0.8614 0.7228 0.9198  6 Pd 2.66-2.86
Te3 0.1386 0.2772 0.0802  6 Pd 2.66-2.86
Te4 0.8614 0.7228 0.5802  6 Pd 2.66-2.86
Pd1 0.7915 0.5830 0.1330  2 Sb 2.68, 3 Te 2.71-2.86, 2 Pd 2.82-2.93
Pd2 0.7915 0.5830 0.3670  2 Sb 2.68, 3 Te 2.71-2.86, 2 Pd 2.82-2.93
Pd3 0.2085 0.4170 0.8670  2 Sb 2.68, 3 Te 2.71-2.86, 2 Pd 2.82-2.93
Pd4 0.2085 0.4170 0.6330  2 Sb 2.68, 3 Te 2.71-2.86, 2 Pd 2.82-2.93
Pd5 0.9996 0.9992 0.7500  2 Sb 2.60, 2 Te 2.66
Pd6 0.0004 0.0008 0.2500  2 Sb 2.60, 2 Te 2.66
Pd7 0.5000 0.0000 0.0000  4 Te 2.84
Pd8 0.5000 0.0000 0.5000  4 Te 2.84

***

## SbTe3Pd3 (PBE)

Data for a relaxed SbTe3Pd3 crystal.

Calculated values
**Raw formation energy**: -1.4 eV per formula unit
**Space-group type**: R-3, No. 148
**Total DFT energy (no corrections)**: -0.161 Ha/atom
**Size of the total moment**: 0.0 μB per cell

abc: 8.2167 8.2167 7.5038
angles: 56.80 56.80 60.00
Closest atoms and distances in Å follow each position.
Positions (direct):
Sb1 0.3321 0.3321 0.0037  6 Pd 2.85-2.96
Sb2 0.6679 0.6679 0.9963  6 Pd 2.85-2.96
Te1 0.3988 0.7927 0.7028  5 Pd 2.80-3.00
Te2 0.7927 0.1057 0.7028  5 Pd 2.80-3.00
Te3 0.1057 0.3988 0.7028  5 Pd 2.80-3.00
Te4 0.8943 0.6012 0.2972  5 Pd 2.80-3.00
Te5 0.2073 0.8943 0.2972  5 Pd 2.80-3.00
Te6 0.6012 0.2073 0.2972  5 Pd 2.80-3.00
Pd1 0.2868 0.5637 0.2121  5 Te 2.80-3.00, 2 Sb 2.85-2.96
Pd2 0.9375 0.2868 0.2121  5 Te 2.80-3.00, 2 Sb 2.85-2.96
Pd3 0.5637 0.9375 0.2121  5 Te 2.80-3.00, 2 Sb 2.85-2.96
Pd4 0.4363 0.0625 0.7879  5 Te 2.80-3.00, 2 Sb 2.85-2.96
Pd5 0.0625 0.7132 0.7879  5 Te 2.80-3.00, 2 Sb 2.85-2.96
Pd6 0.7132 0.4363 0.7879  5 Te 2.80-3.00, 2 Sb 2.85-2.96

***

## Sb3TePd4 (PBE)

Data for a relaxed Sb3TePd4 crystal.

Calculated values
**Raw formation energy**: -2.4 eV per formula unit
**Space-group type**: Pmn2_1, No. 31
**Total DFT energy (no corrections)**: -0.178 Ha/atom
**Size of the total moment**: 0.0 μB per cell

abc: 5.4572 8.0098 8.6802
angles: 90.00 90.00 90.00
Closest atoms and distances in Å follow each position.
Positions (direct):
Sb1 0.4783 0.8476 0.0000  5 Pd 2.66-2.85
Sb2 0.1439 0.6263 0.2604  5 Pd 2.66-2.84
Sb3 0.6439 0.3737 0.2396  5 Pd 2.66-2.84
Sb4 0.9783 0.1524 0.5000  5 Pd 2.66-2.85
Sb5 0.6439 0.3737 0.7604  5 Pd 2.66-2.84
Sb6 0.1439 0.6263 0.7396  5 Pd 2.66-2.84
Te1 0.9832 0.1107 0.0000  5 Pd 2.67-2.82
Te2 0.4832 0.8893 0.5000  5 Pd 2.67-2.82
Pd1 0.9852 0.7625 0.0000  4 Sb 2.66-2.85, 1 Te 2.79, 2 Pd 2.94
Pd2 0.4859 0.1926 0.0000  3 Sb 2.68-2.76, 2 Te 2.79-2.82, 2 Pd 2.89
Pd3 0.1474 0.2860 0.2405  4 Sb 2.66-2.84, 1 Te 2.67, 2 Pd 2.89-2.94
Pd4 0.6474 0.7140 0.2595  4 Sb 2.66-2.84, 1 Te 2.67, 2 Pd 2.89-2.94
Pd5 0.9859 0.8074 0.5000  3 Sb 2.68-2.76, 2 Te 2.79-2.82, 2 Pd 2.89
Pd6 0.4852 0.2375 0.5000  4 Sb 2.66-2.85, 1 Te 2.79, 2 Pd 2.94
Pd7 0.6474 0.7140 0.7405  4 Sb 2.66-2.84, 1 Te 2.67, 2 Pd 2.89-2.94
Pd8 0.1474 0.2860 0.7595  4 Sb 2.66-2.84, 1 Te 2.67, 2 Pd 2.89-2.94

***

## Sb3TePd (PBE)

Data for a relaxed Sb3TePd crystal.

Calculated values
**Raw formation energy**: 1.6 eV per formula unit
**Space-group type**: Pm-3m, No. 221
**Total DFT energy (no corrections)**: -0.141 Ha/atom
**Size of the total moment**: 0.0 μB per cell
**Energy above the lowest structure with this stoichiometry**: 378 meV per atom

abc: 5.2533 5.2533 5.2533
angles: 90.00 90.00 90.00
Closest atoms and distances in Å follow each position.
Positions (direct):
Sb1 0.0000 0.5000 0.0000  2 Pd 2.63
Sb2 0.0000 0.0000 0.5000  2 Pd 2.63
Sb3 0.5000 0.0000 0.0000  2 Pd 2.63
Te1 0.5000 0.5000 0.5000  12 Sb 3.71
Pd1 0.0000 0.0000 0.0000  6 Sb 2.63

***

## Sb2TePd4 (PBE)

Data for a relaxed Sb2TePd4 crystal.

Calculated values
**Raw formation energy**: -2.1 eV per formula unit
**Space-group type**: Pbam, No. 55
**Total DFT energy (no corrections)**: -0.180 Ha/atom
**Size of the total moment**: 0.0 μB per cell
**Energy above the lowest structure with this stoichiometry**: 0 meV per atom

abc: 4.5113 5.9855 10.7094
angles: 90.00 90.00 90.00
Closest atoms and distances in Å follow each position.
Positions (direct):
Sb1 0.5000 0.8839 0.8187  7 Pd 2.65-2.94
Sb2 0.5000 0.1161 0.1813  7 Pd 2.65-2.94
Sb3 0.5000 0.3839 0.6813  7 Pd 2.65-2.94
Sb4 0.5000 0.6161 0.3187  7 Pd 2.65-2.94
Te1 0.0000 0.0000 0.5000  4 Pd 2.73
Te2 0.0000 0.5000 0.0000  4 Pd 2.73
Pd1 0.0000 0.6885 0.7270  4 Sb 2.72-2.94, 4 Pd 2.95-3.03
Pd2 0.0000 0.3115 0.2730  4 Sb 2.72-2.94, 4 Pd 2.95-3.03
Pd3 0.0000 0.1885 0.7730  4 Sb 2.72-2.94, 4 Pd 2.95-3.03
Pd4 0.0000 0.8115 0.2270  4 Sb 2.72-2.94, 4 Pd 2.95-3.03
Pd5 0.5000 0.7635 0.5546  3 Sb 2.65-2.92, 2 Te 2.73, 2 Pd 2.95
Pd6 0.5000 0.2365 0.4454  3 Sb 2.65-2.92, 2 Te 2.73, 2 Pd 2.95
Pd7 0.5000 0.7365 0.0546  3 Sb 2.65-2.92, 2 Te 2.73, 2 Pd 2.95
Pd8 0.5000 0.2635 0.9454  3 Sb 2.65-2.92, 2 Te 2.73, 2 Pd 2.95

***

## Sb2TePd6 (PBE)

Data for a relaxed Sb2TePd6 crystal.

Calculated values
**Raw formation energy**: -3.1 eV per formula unit
**Space-group type**: P-62m, No. 189
**Total DFT energy (no corrections)**: -0.186 Ha/atom
**Size of the total moment**: 0.0 μB per cell

abc: 3.2917 7.5503 7.5505
angles: 120.00 90.00 90.00
Closest atoms and distances in Å follow each position.
Positions (direct):
Sb1 0.0000 0.3334 0.6667  9 Pd 2.66-2.89
Sb2 0.0000 0.6667 0.3333  9 Pd 2.66-2.89
Te1 0.5000 0.0000 0.0000  9 Pd 2.78-2.83
Pd1 0.5000 0.6250 0.0000  1 Te 2.83, 4 Sb 2.89, 6 Pd 2.97-3.07
Pd2 0.5000 0.3750 0.3750  1 Te 2.83, 4 Sb 2.89, 6 Pd 2.97-3.07
Pd3 0.5000 0.0000 0.6250  1 Te 2.83, 4 Sb 2.89, 6 Pd 2.97-3.07
Pd4 0.0000 0.2972 0.0000  2 Sb 2.66, 2 Te 2.78, 2 Pd 2.97
Pd5 0.0000 0.7028 0.7028  2 Sb 2.66, 2 Te 2.78, 2 Pd 2.97
Pd6 0.0000 0.0000 0.2972  2 Sb 2.66, 2 Te 2.78, 2 Pd 2.97

***

## SbTe4Pd (PBE)

Data for a relaxed SbTe4Pd crystal.

Calculated values
**Raw formation energy**: -1.0 eV per formula unit
**Space-group type**: P2/m, No. 10
**Total DFT energy (no corrections)**: -0.140 Ha/atom
**Size of the total moment**: 0.0 μB per cell
**Energy above the lowest structure with this stoichiometry**: 0 meV per atom

abc: 4.2244 5.4570 7.4088
angles: 90.39 90.00 90.00
Closest atoms and distances in Å follow each position.
Positions (direct):
Sb1 0.0000 0.0000 0.0000  6 Te 3.05
Te1 0.0000 0.7263 0.6393  2 Pd 2.79, 1 Sb 3.05
Te2 0.5000 0.2987 0.8015  1 Pd 2.76, 2 Sb 3.05
Te3 0.5000 0.7013 0.1985  1 Pd 2.76, 2 Sb 3.05
Te4 0.0000 0.2737 0.3607  2 Pd 2.79, 1 Sb 3.05
Pd1 0.5000 0.0000 0.5000  6 Te 2.76-2.79

***

## Sb2TePd8 (PBE)

Data for a relaxed Sb2TePd8 crystal.

Calculated values
**Raw formation energy**: -4.0 eV per formula unit
**Space-group type**: C2/m, No. 12
**Total DFT energy (no corrections)**: -0.190 Ha/atom
**Size of the total moment**: 0.0 μB per cell

abc: 4.2732 6.5378 7.7032
angles: 110.69 106.10 90.00
Closest atoms and distances in Å follow each position.
Positions (direct):
Sb1 0.8113 0.3254 0.6227  9 Pd 2.64-2.81
Sb2 0.1887 0.6746 0.3773  9 Pd 2.64-2.81
Te1 0.5000 0.0000 0.0000  8 Pd 2.70-2.78
Pd1 0.4060 0.5504 0.8120  2 Sb 2.68, 1 Te 2.75, 5 Pd 2.80-2.98
Pd2 0.6695 0.9324 0.3391  3 Sb 2.65-2.80, 1 Te 2.70, 4 Pd 2.93-2.94
Pd3 0.8200 0.7397 0.6399  3 Sb 2.66-2.81, 3 Pd 2.93-2.98
Pd4 0.9731 0.2428 0.9462  1 Sb 2.64, 2 Te 2.78, 4 Pd 2.80-2.93
Pd5 0.1800 0.2603 0.3601  3 Sb 2.66-2.81, 3 Pd 2.93-2.98
Pd6 0.3305 0.0676 0.6609  3 Sb 2.65-2.80, 1 Te 2.70, 4 Pd 2.93-2.94
Pd7 0.5940 0.4496 0.1880  2 Sb 2.68, 1 Te 2.75, 5 Pd 2.80-2.98
Pd8 0.0269 0.7572 0.0538  1 Sb 2.64, 2 Te 2.78, 4 Pd 2.80-2.93

***

## SbTe5Pd4 (PBE)

Data for a relaxed SbTe5Pd4 crystal.

Calculated values
**Raw formation energy**: -2.8 eV per formula unit
**Space-group type**: C2/m, No. 12
**Total DFT energy (no corrections)**: -0.159 Ha/atom
**Size of the total moment**: 0.0 μB per cell

abc: 3.9986 7.7406 8.9101
angles: 105.27 102.97 90.00
Closest atoms and distances in Å follow each position.
Positions (direct):
Sb1 0.5000 0.0000 0.0000  6 Pd 2.80-2.82
Te1 0.8357 0.6700 0.6715  3 Pd 2.68
Te2 0.8424 0.1335 0.6848  4 Pd 2.68-2.96
Te3 0.1576 0.8665 0.3152  4 Pd 2.68-2.96
Te4 0.5000 0.5000 0.0000  4 Pd 2.76
Te5 0.1643 0.3300 0.3285  3 Pd 2.68
Pd1 0.3311 0.8966 0.6621  5 Te 2.68-2.96, 1 Sb 2.82
Pd2 0.9955 0.7433 0.9910  4 Te 2.68-2.76, 2 Sb 2.80
Pd3 0.6689 0.1034 0.3379  5 Te 2.68-2.96, 1 Sb 2.82
Pd4 0.0045 0.2567 0.0090  4 Te 2.68-2.76, 2 Sb 2.80

***

## SbTePd3 (PBE)

Data for a relaxed SbTePd3 crystal.

Calculated values
**Raw formation energy**: -1.4 eV per formula unit
**Space-group type**: C2/m, No. 12
**Total DFT energy (no corrections)**: -0.178 Ha/atom
**Size of the total moment**: 0.0 μB per cell
**Energy above the lowest structure with this stoichiometry**: 53 meV per atom

abc: 3.5517 7.2449 8.6775
angles: 69.07 78.19 75.81
Closest atoms and distances in Å follow each position.
Positions (direct):
Sb1 0.1603 0.2138 0.4656  7 Pd 2.64-2.85
Sb2 0.8397 0.7862 0.5344  7 Pd 2.64-2.85
Te1 0.3929 0.2582 0.9561  7 Pd 2.74-2.93
Te2 0.6071 0.7418 0.0439  7 Pd 2.74-2.93
Pd1 0.9537 0.3959 0.6966  2 Sb 2.64-2.67, 2 Te 2.75
Pd2 0.0463 0.6041 0.3034  2 Sb 2.64-2.67, 2 Te 2.75
Pd3 0.6228 0.0379 0.7166  3 Sb 2.70-2.74, 2 Te 2.88-2.93
Pd4 0.3772 0.9621 0.2834  3 Sb 2.70-2.74, 2 Te 2.88-2.93
Pd5 0.7399 0.3324 0.1878  3 Te 2.74-2.82, 2 Sb 2.85, 4 Pd 3.00-3.03
Pd6 0.2601 0.6676 0.8122  3 Te 2.74-2.82, 2 Sb 2.85, 4 Pd 3.00-3.03